# Mn3FeAs4, relaxed, DFT PBE
data_Mn3FeAs4
_cell_length_a 5.411
_cell_length_b 3.465
_cell_length_c 6.003
_cell_angle_alpha 90.00
_cell_angle_beta 90.20
_cell_angle_gamma 90.00
_space_group_name_H-M_alt 'P 1 m 1'
_space_group_IT_number 6
_space_group_name_Hall 'P -2y'
loop_
_atom_site_label
_atom_site_type_symbol
_atom_site_fract_x
_atom_site_fract_y
_atom_site_fract_z
Mn1 Mn 0.000 0.000 0.000
Mn2 Mn 0.010 0.500 0.386
Mn3 Mn 0.499 0.000 0.889
Fe1 Fe 0.505 0.500 0.498
As1 As 0.197 0.500 0.771
As2 As 0.312 0.000 0.281
As3 As 0.698 0.500 0.115
As4 As 0.796 0.000 0.603
# crystal system: monoclinic
# DOS(E_F): 0.582 states/eV/atom
# total DFT energy (no corrections): -56.538 eV/f.u.
# total magnetic moment: 5.6 μB per cell

# MnFe2As, relaxed, DFT PBE
data_MnFe2As
_cell_length_a 3.315
_cell_length_b 3.855
_cell_length_c 7.881
_cell_angle_alpha 90.00
_cell_angle_beta 90.00
_cell_angle_gamma 90.00
_space_group_name_H-M_alt 'I m m m'
_space_group_IT_number 71
_space_group_name_Hall '-I 2 2'
loop_
_atom_site_label
_atom_site_type_symbol
_atom_site_fract_x
_atom_site_fract_y
_atom_site_fract_z
Mn1 Mn 0.000 0.000 0.000
Fe1 Fe 0.000 0.500 0.250
As1 As 0.000 0.000 0.500
# crystal system: orthorhombic
# DOS(E_F): 0.774 states/eV/atom
# total DFT energy (no corrections): -30.577 eV/f.u.
# total magnetic moment: 14.7 μB per cell

# MnFe2As, relaxed, DFT PBE
data_MnFe2As
_cell_length_a 3.677
_cell_length_b 3.677
_cell_length_c 3.646
_cell_angle_alpha 90.00
_cell_angle_beta 90.00
_cell_angle_gamma 90.00
_space_group_name_H-M_alt 'P 4/m m m'
_space_group_IT_number 123
_space_group_name_Hall '-P 4 2'
loop_
_atom_site_label
_atom_site_type_symbol
_atom_site_fract_x
_atom_site_fract_y
_atom_site_fract_z
Mn1 Mn 0.000 0.000 0.000
Fe1 Fe 0.000 0.500 0.500
As1 As 0.500 0.500 0.000
# crystal system: tetragonal
# DOS(E_F): 0.839 states/eV/atom
# total DFT energy (no corrections): -30.807 eV/f.u.
# total magnetic moment: 6.8 μB per cell